1.
VASP calculation (GGA-PBE) on a relaxed AgRuRh2 crystal.

Summary:
- ΔH_f (0 K): 0.32 eV/atom
- Final energy: -6.39 eV per atom
- Crystal system: orthorhombic
- Density of states at the Fermi level: 1.7096 states/eV/atom

Cell: 2.7536 4.4778 4.8443 Å, 90.00 90.00 90.00°
Closest atoms and distances in Å follow each position.
Fractional coordinates of all 4 atoms:
Ag 0.0000 0.0000 0.0000  2 Ag 2.75, 8 Rh 2.77-2.81, 2 Ru 2.79
Ru 0.0000 0.5000 0.3425  8 Rh 2.69-2.89, 2 Ru 2.75, 2 Ag 2.79
Rh 0.5000 0.0000 0.4953  4 Ru 2.73, 4 Rh 2.73-2.75, 4 Ag 2.77-2.81
Rh 0.5000 0.5000 0.8188  4 Ru 2.69-2.89, 4 Rh 2.73-2.75, 4 Ag 2.77



2.
VASP calculation (GGA-PBE) on a relaxed BaMo3Pd crystal.

Summary:
- ΔH_f (0 K): 1.72 eV/atom
- Final energy: -6.20 eV per atom
- Crystal system: cubic
- Density of states at the Fermi level: 1.7020 states/eV/atom

Cell: 4.9608 4.9608 4.9608 Å, 90.00 90.00 90.00°
Closest atoms and distances in Å follow each position.
Fractional coordinates of all 5 atoms:
Ba 0.0000 0.0000 0.0000  12 Mo 3.51
Mo 0.0000 0.5000 0.5000  2 Pd 2.48
Mo 0.5000 0.0000 0.5000  2 Pd 2.48
Mo 0.5000 0.5000 0.0000  2 Pd 2.48
Pd 0.5000 0.5000 0.5000  6 Mo 2.48



3.
VASP calculation (GGA-PBE) on a relaxed TaRhBr crystal.

Summary:
- Raw formation energy: -32 meV per atom
- Final energy: -6.99 eV per atom
- Crystal system: tetragonal
- Density of states at the Fermi level: 0.6163 states/eV/atom

Cell: 6.4411 6.4411 6.4411 Å, 152.41 152.41 39.41°
Closest atoms and distances in Å follow each position.
Fractional coordinates of all 3 atoms:
Ta 0.0000 0.0000 0.0000  4 Rh 2.67, 4 Br 2.85
Rh 0.3719 0.3719 0.0000  4 Ta 2.67
Br 0.6516 0.6516 0.0000  4 Ta 2.85, 4 Br 3.07



Q: The highest density of states at the Fermi level belongs to which entry?
A: AgRuRh2